1.
{
  "formula": "Tb12Ho7Al",
  "functional": "PBE-GGA",
  "state": "optimized geometry",
  "magmom_total_mub_per_cell": 0.02,
  "space_group": "R-3 (148)",
  "rho_g_cm3": 8.1,
  "ef_kj_per_mol_atoms": 18.0,
  "lattice": [[-3.614, -7.755, 0.853], [7.138, -3.255, 3.521], [-2.738, 1.834, 7.942]],
  "species": ["Tb", "Tb", "Tb", "Tb", "Tb", "Tb", "Tb", "Tb", "Tb", "Tb", "Tb", "Tb", "Al", "Ho", "Ho", "Ho", "Ho", "Ho", "Ho", "Ho"],
  "fractional_positions": [[0.749, 0.254, 0.133], [0.142, 0.501, 0.614], [0.867, 0.251, 0.746], [0.614, 0.142, 0.501], [0.133, 0.749, 0.254], [0.386, 0.858, 0.499], [0.746, 0.867, 0.251], [0.254, 0.133, 0.749], [0.858, 0.499, 0.386], [0.501, 0.614, 0.142], [0.499, 0.386, 0.858], [0.251, 0.746, 0.867], [0.000, 0.000, 0.000], [0.614, 0.934, 0.855], [0.145, 0.386, 0.066], [0.855, 0.614, 0.934], [0.500, 0.500, 0.500], [0.386, 0.066, 0.145], [0.934, 0.855, 0.614], [0.066, 0.145, 0.386]]
}

---

2.
{
  "formula": "Tb2Ho8Al",
  "functional": "PBE-GGA",
  "state": "optimized geometry",
  "magmom_total_mub_per_cell": 0.00,
  "space_group": "C2/m (12)",
  "rho_g_cm3": 8.4,
  "ef_kj_per_mol_atoms": -3.8,
  "lattice": [[-2.145, -2.931, 4.055], [5.008, -3.962, -0.214], [6.170, 6.473, 4.289]],
  "species": ["Ho", "Ho", "Ho", "Ho", "Ho", "Ho", "Ho", "Ho", "Tb", "Tb", "Al"],
  "fractional_positions": [[0.658, 0.878, 0.315], [0.154, 0.188, 0.309], [0.957, 0.254, 0.915], [0.043, 0.746, 0.085], [0.578, 0.397, 0.156], [0.846, 0.812, 0.691], [0.422, 0.603, 0.844], [0.342, 0.122, 0.685], [0.242, 0.667, 0.484], [0.758, 0.333, 0.516], [0.500, 0.000, 0.000]]
}

---

3.
{
  "formula": "TbYHoAl",
  "functional": "PBE-GGA",
  "state": "optimized geometry",
  "e_above_lowest_polymorph_kj_per_mol_atoms": 0.0,
  "magmom_total_mub_per_cell": 0.00,
  "space_group": "P4mm (99)",
  "rho_g_cm3": 6.6,
  "ef_kj_per_mol_atoms": -18.8,
  "lattice": [[-1.159, 0.078, -3.315], [-3.169, -1.062, 1.083], [-2.510, 8.591, 1.080]],
  "species": ["Al", "Tb", "Y", "Ho"],
  "fractional_positions": [[0.000, 0.000, 0.570], [0.000, 0.000, 0.074], [0.500, 0.500, 0.784], [0.500, 0.500, 0.358]]
}

---

4.
{
  "formula": "TbYHoAl",
  "functional": "PBE-GGA",
  "state": "optimized geometry",
  "e_above_lowest_polymorph_kj_per_mol_atoms": 13.2,
  "magmom_total_mub_per_cell": 0.04,
  "space_group": "F-43m (216)",
  "rho_g_cm3": 6.7,
  "ef_kj_per_mol_atoms": -5.6,
  "lattice": [[5.353, 0.000, 0.000], [2.677, 4.636, 0.000], [2.677, 1.545, 4.371]],
  "species": ["Tb", "Al", "Y", "Ho"],
  "fractional_positions": [[0.500, 0.500, 0.500], [0.750, 0.750, 0.750], [0.000, 0.000, 0.000], [0.250, 0.250, 0.250]]
}

---

5.
{
  "formula": "TbHo2Al2Zn2",
  "functional": "PBE-GGA",
  "state": "optimized geometry",
  "magmom_total_mub_per_cell": 0.00,
  "space_group": "R-3m (166)",
  "rho_g_cm3": 7.1,
  "ef_kj_per_mol_atoms": -30.0,
  "lattice": [[4.504, 0.000, 0.000], [2.252, 3.901, 0.000], [2.252, 1.300, 9.019]],
  "species": ["Zn", "Zn", "Ho", "Ho", "Tb", "Al", "Al"],
  "fractional_positions": [[0.601, 0.601, 0.198], [0.399, 0.399, 0.802], [0.128, 0.128, 0.617], [0.872, 0.872, 0.383], [0.000, 0.000, 0.000], [0.737, 0.737, 0.788], [0.263, 0.263, 0.212]]
}

---

6.
{
  "formula": "TbHoZrAl",
  "functional": "PBE-GGA",
  "state": "optimized geometry",
  "magmom_total_mub_per_cell": 0.01,
  "space_group": "F-43m (216)",
  "rho_g_cm3": 7.5,
  "ef_kj_per_mol_atoms": 0.7,
  "lattice": [[-2.727, 1.948, 3.929], [-2.839, -3.126, 2.973], [1.444, -0.949, 4.867]],
  "species": ["Ho", "Zr", "Al", "Tb"],
  "fractional_positions": [[0.500, 0.500, 0.500], [0.000, 0.000, 0.000], [0.250, 0.250, 0.250], [0.750, 0.750, 0.750]]
}

---

7.
{
  "formula": "Ho8Al2Tc",
  "functional": "PBE-GGA",
  "state": "optimized geometry",
  "magmom_total_mub_per_cell": 0.00,
  "space_group": "C2/m (12)",
  "rho_g_cm3": 8.4,
  "ef_kj_per_mol_atoms": -16.0,
  "lattice": [[5.295, 0.000, 0.000], [0.000, 6.902, -0.076], [-2.648, -3.064, 7.979]],
  "species": ["Ho", "Ho", "Ho", "Ho", "Ho", "Ho", "Ho", "Ho", "Tc", "Al", "Al"],
  "fractional_positions": [[0.351, 0.074, 0.702], [0.986, 0.225, 0.973], [0.603, 0.415, 0.207], [0.014, 0.775, 0.027], [0.397, 0.585, 0.793], [0.196, 0.259, 0.391], [0.649, 0.926, 0.298], [0.804, 0.741, 0.609], [0.500, 0.000, 0.000], [0.817, 0.312, 0.635], [0.183, 0.688, 0.365]]
}

---

8.
{
  "formula": "HoAl2Tc",
  "functional": "PBE-GGA",
  "state": "optimized geometry",
  "e_above_lowest_polymorph_kj_per_mol_atoms": 34.0,
  "magmom_total_mub_per_cell": 0.00,
  "space_group": "R-3m (166)",
  "rho_g_cm3": 6.5,
  "ef_kj_per_mol_atoms": 1.7,
  "lattice": [[3.704, 0.000, 0.000], [1.852, 3.208, 0.000], [1.852, 1.069, 6.815]],
  "species": ["Al", "Al", "Ho", "Tc"],
  "fractional_positions": [[0.731, 0.731, 0.807], [0.269, 0.269, 0.193], [0.500, 0.500, 0.500], [0.000, 0.000, 0.000]]
}

---

9.
{
  "formula": "Ho5Al2Tc",
  "functional": "PBE-GGA",
  "state": "optimized geometry",
  "magmom_total_mub_per_cell": 0.00,
  "space_group": "Pbam (55)",
  "rho_g_cm3": 8.3,
  "ef_kj_per_mol_atoms": -22.3,
  "lattice": [[4.911, 0.000, 0.000], [0.000, 6.455, 0.000], [0.000, 0.000, 12.367]],
  "species": ["Al", "Al", "Al", "Al", "Ho", "Ho", "Ho", "Ho", "Ho", "Ho", "Ho", "Ho", "Ho", "Ho", "Tc", "Tc"],
  "fractional_positions": [[0.500, 0.357, 0.357], [0.500, 0.143, 0.857], [0.500, 0.857, 0.143], [0.500, 0.643, 0.643], [0.500, 0.668, 0.898], [0.000, 0.500, 0.500], [0.500, 0.332, 0.102], [0.500, 0.832, 0.398], [0.000, 0.114, 0.281], [0.000, 0.000, 0.000], [0.000, 0.386, 0.781], [0.000, 0.886, 0.719], [0.500, 0.168, 0.602], [0.000, 0.614, 0.219], [0.000, 0.000, 0.500], [0.000, 0.500, 0.000]]
}

---

10.
{
  "formula": "HoAl8Tc2",
  "functional": "PBE-GGA",
  "state": "optimized geometry",
  "magmom_total_mub_per_cell": 0.00,
  "space_group": "C2/m (12)",
  "rho_g_cm3": 4.6,
  "ef_kj_per_mol_atoms": -16.1,
  "lattice": [[-0.585, 2.360, 4.155], [1.819, -6.021, 2.512], [5.981, 2.616, -1.806]],
  "species": ["Tc", "Tc", "Al", "Al", "Al", "Al", "Al", "Al", "Al", "Al", "Ho"],
  "fractional_positions": [[0.000, 0.717, 0.283], [0.000, 0.283, 0.717], [0.743, 0.393, 0.393], [0.500, 0.286, 0.714], [0.500, 0.714, 0.286], [0.904, 0.643, 0.900], [0.096, 0.357, 0.100], [0.257, 0.607, 0.607], [0.904, 0.900, 0.643], [0.096, 0.100, 0.357], [0.500, 0.000, 0.000]]
}

---

11.
{
  "formula": "HoAl2Tc",
  "functional": "PBE-GGA",
  "state": "optimized geometry",
  "e_above_lowest_polymorph_kj_per_mol_atoms": 0.0,
  "magmom_total_mub_per_cell": 0.00,
  "space_group": "P4/mmm (123)",
  "rho_g_cm3": 7.2,
  "ef_kj_per_mol_atoms": -32.3,
  "lattice": [[3.215, 0.000, 0.000], [0.000, 3.215, 0.000], [0.000, 0.000, 7.035]],
  "species": ["Ho", "Al", "Al", "Tc"],
  "fractional_positions": [[0.500, 0.500, 0.500], [0.000, 0.000, 0.189], [0.000, 0.000, 0.811], [0.500, 0.500, 0.000]]
}

---

12.
{
  "formula": "Ho2AlTc3",
  "functional": "PBE-GGA",
  "state": "optimized geometry",
  "magmom_total_mub_per_cell": 0.00,
  "space_group": "R-3m (166)",
  "rho_g_cm3": 9.8,
  "ef_kj_per_mol_atoms": -33.6,
  "lattice": [[-1.353, 4.568, -2.400], [-3.447, -4.070, 0.123], [0.373, -0.153, 5.432]],
  "species": ["Ho", "Ho", "Tc", "Tc", "Tc", "Al"],
  "fractional_positions": [[0.243, 0.621, 0.864], [0.757, 0.379, 0.136], [0.000, 0.000, 0.500], [0.500, 0.000, 0.500], [0.500, 0.500, 0.500], [0.000, 0.000, 0.000]]
}

---

13.
{
  "formula": "Ho3Al9Tc2",
  "functional": "PBE-GGA",
  "state": "optimized geometry",
  "magmom_total_mub_per_cell": 0.00,
  "space_group": "Immm (71)",
  "rho_g_cm3": 6.0,
  "ef_kj_per_mol_atoms": -45.4,
  "lattice": [[4.353, 0.000, 0.000], [2.177, 7.867, 0.166], [2.177, 1.945, 7.625]],
  "species": ["Al", "Al", "Al", "Al", "Al", "Al", "Al", "Al", "Al", "Ho", "Ho", "Ho", "Tc", "Tc"],
  "fractional_positions": [[0.348, 0.291, 0.012], [0.125, 0.157, 0.592], [0.000, 0.500, 0.500], [0.348, 0.012, 0.291], [0.125, 0.592, 0.157], [0.875, 0.408, 0.843], [0.652, 0.988, 0.709], [0.652, 0.709, 0.988], [0.875, 0.843, 0.408], [0.699, 0.301, 0.301], [0.000, 0.000, 0.000], [0.301, 0.699, 0.699], [0.500, 0.325, 0.675], [0.500, 0.675, 0.325]]
}

---

14.
{
  "formula": "HoAlTc2",
  "functional": "PBE-GGA",
  "state": "optimized geometry",
  "magmom_total_mub_per_cell": 0.00,
  "space_group": "R-3m (166)",
  "rho_g_cm3": 9.2,
  "ef_kj_per_mol_atoms": 22.3,
  "lattice": [[-0.780, 3.047, 0.120], [-0.837, 1.304, 2.739], [7.282, 3.394, 2.419]],
  "species": ["Al", "Tc", "Tc", "Ho"],
  "fractional_positions": [[0.000, 0.000, 0.000], [0.258, 0.258, 0.226], [0.742, 0.742, 0.774], [0.500, 0.500, 0.500]]
}

---

15.
{
  "formula": "Ho6Al2Tc",
  "functional": "PBE-GGA",
  "state": "optimized geometry",
  "magmom_total_mub_per_cell": 0.00,
  "space_group": "Immm (71)",
  "rho_g_cm3": 7.3,
  "ef_kj_per_mol_atoms": -0.2,
  "lattice": [[-1.954, -2.092, -4.135], [-2.231, -5.492, 3.833], [-4.226, 7.227, 1.394]],
  "species": ["Ho", "Ho", "Ho", "Ho", "Ho", "Ho", "Tc", "Al", "Al"],
  "fractional_positions": [[0.843, 0.598, 0.685], [0.157, 0.402, 0.315], [0.500, 0.232, 0.000], [0.157, 0.912, 0.315], [0.500, 0.768, 0.000], [0.843, 0.088, 0.685], [0.000, 0.000, 0.000], [0.333, 0.333, 0.666], [0.667, 0.667, 0.334]]
}

---

16.
{
  "formula": "Ho4Al12Tc",
  "functional": "PBE-GGA",
  "state": "optimized geometry",
  "magmom_total_mub_per_cell": 0.00,
  "space_group": "Im-3m (229)",
  "rho_g_cm3": 5.5,
  "ef_kj_per_mol_atoms": -42.4,
  "lattice": [[7.063, 0.000, -2.497], [-3.532, 6.117, -2.497], [0.000, 0.000, 7.492]],
  "species": ["Al", "Al", "Al", "Al", "Al", "Al", "Al", "Al", "Al", "Al", "Al", "Al", "Ho", "Ho", "Ho", "Ho", "Tc"],
  "fractional_positions": [[0.288, 0.288, 0.000], [0.250, 0.500, 0.750], [0.750, 0.250, 0.500], [0.500, 0.750, 0.250], [0.250, 0.750, 0.500], [0.000, 0.288, 0.288], [0.750, 0.500, 0.250], [0.500, 0.250, 0.750], [0.712, 0.712, 0.000], [0.288, 0.000, 0.288], [0.712, 0.000, 0.712], [0.000, 0.712, 0.712], [0.000, 0.000, 0.500], [0.000, 0.500, 0.000], [0.500, 0.500, 0.500], [0.500, 0.000, 0.000], [0.000, 0.000, 0.000]]
}

---

17.
{
  "formula": "Ho8AlTc2",
  "functional": "PBE-GGA",
  "state": "optimized geometry",
  "magmom_total_mub_per_cell": 0.00,
  "space_group": "C2/m (12)",
  "rho_g_cm3": 9.0,
  "ef_kj_per_mol_atoms": -11.9,
  "lattice": [[4.640, 0.000, -1.336], [-0.945, 6.287, -3.281], [0.232, 0.318, 9.530]],
  "species": ["Ho", "Ho", "Ho", "Ho", "Ho", "Ho", "Ho", "Ho", "Tc", "Tc", "Al"],
  "fractional_positions": [[0.400, 0.268, 0.801], [0.600, 0.732, 0.199], [0.966, 0.703, 0.933], [0.675, 0.394, 0.349], [0.801, 0.911, 0.603], [0.325, 0.606, 0.651], [0.034, 0.297, 0.067], [0.199, 0.089, 0.397], [0.815, 0.322, 0.630], [0.185, 0.678, 0.370], [0.500, 0.000, 0.000]]
}

---

18.
{
  "formula": "Ho4AlTc",
  "functional": "PBE-GGA",
  "state": "optimized geometry",
  "magmom_total_mub_per_cell": 0.00,
  "space_group": "C2/c (15)",
  "rho_g_cm3": 8.2,
  "ef_kj_per_mol_atoms": -18.4,
  "lattice": [[6.099, -0.778, 0.000], [-2.554, 8.499, 0.000], [-1.773, -3.861, 6.364]],
  "species": ["Ho", "Ho", "Ho", "Ho", "Ho", "Ho", "Ho", "Ho", "Al", "Al", "Tc", "Tc"],
  "fractional_positions": [[0.232, 0.279, 0.342], [0.241, 0.635, 0.844], [0.610, 0.063, 0.342], [0.768, 0.721, 0.658], [0.103, 0.209, 0.844], [0.390, 0.937, 0.658], [0.897, 0.791, 0.156], [0.759, 0.365, 0.156], [0.625, 0.375, 0.750], [0.375, 0.625, 0.250], [0.751, 0.001, 0.002], [0.249, 0.999, 0.998]]
}

---

19.
{
  "formula": "HoAl10Tc2",
  "functional": "PBE-GGA",
  "state": "optimized geometry",
  "magmom_total_mub_per_cell": 0.00,
  "space_group": "Cmcm (63)",
  "rho_g_cm3": 4.8,
  "ef_kj_per_mol_atoms": -39.8,
  "lattice": [[-3.673, -4.976, 3.060], [6.242, -2.315, 1.814], [-0.377, 5.005, 7.686]],
  "species": ["Tc", "Tc", "Tc", "Tc", "Al", "Al", "Al", "Al", "Al", "Al", "Al", "Al", "Al", "Al", "Al", "Al", "Al", "Al", "Al", "Al", "Al", "Al", "Al", "Al", "Ho", "Ho"],
  "fractional_positions": [[0.500, 0.000, 0.000], [0.000, 0.500, 0.000], [0.000, 0.500, 0.500], [0.500, 0.000, 0.500], [0.849, 0.151, 0.403], [0.527, 0.786, 0.750], [0.625, 0.375, 0.962], [0.591, 0.861, 0.250], [0.151, 0.849, 0.903], [0.151, 0.849, 0.597], [0.227, 0.227, 0.500], [0.214, 0.473, 0.750], [0.773, 0.773, 0.500], [0.773, 0.773, 0.000], [0.861, 0.591, 0.750], [0.227, 0.227, 0.000], [0.139, 0.409, 0.250], [0.786, 0.527, 0.250], [0.849, 0.151, 0.097], [0.625, 0.375, 0.538], [0.473, 0.214, 0.250], [0.409, 0.139, 0.750], [0.375, 0.625, 0.038], [0.375, 0.625, 0.462], [0.128, 0.872, 0.250], [0.872, 0.128, 0.750]]
}

---

20.
{
  "formula": "Ho6AlTc2",
  "functional": "PBE-GGA",
  "state": "optimized geometry",
  "magmom_total_mub_per_cell": 0.00,
  "space_group": "Immm (71)",
  "rho_g_cm3": 8.8,
  "ef_kj_per_mol_atoms": -17.1,
  "lattice": [[7.862, -0.105, -3.024], [-4.150, 6.986, -2.223], [-0.234, 0.105, 8.420]],
  "species": ["Ho", "Ho", "Ho", "Ho", "Ho", "Ho", "Ho", "Ho", "Ho", "Ho", "Ho", "Ho", "Tc", "Tc", "Tc", "Tc", "Al", "Al"],
  "fractional_positions": [[0.908, 0.722, 0.186], [0.802, 0.247, 0.049], [0.092, 0.278, 0.814], [0.313, 0.981, 0.668], [0.687, 0.019, 0.332], [0.802, 0.753, 0.554], [0.198, 0.247, 0.446], [0.313, 0.645, 0.332], [0.537, 0.722, 0.814], [0.687, 0.355, 0.668], [0.463, 0.278, 0.186], [0.198, 0.753, 0.951], [0.685, 0.000, 0.685], [0.315, 0.000, 0.315], [0.500, 0.615, 0.115], [0.500, 0.385, 0.885], [0.000, 0.000, 0.000], [0.000, 0.500, 0.500]]
}